[1]
Density functional theory data (PBE) for a geometry-optimized TlCrAs2 structure.

Cell lengths 5.936, 5.936, 7.416 Å; angles 66.41, 66.41, 90.00 degrees
Site moments in Bohr magnetons follow the coordinates.
Element x y z (fractional)
Cr  0.500  0.500  0.000  2.88
Cr  0.250  0.750  0.500  2.90
Tl  0.000  0.000  0.000  0.05
Tl  0.750  0.250  0.500  0.05
As  0.569  0.125  0.250  -0.11
As  0.181  0.625  0.250  -0.11
As  0.375  0.431  0.750  -0.11
As  0.875  0.819  0.750  -0.11

Computed properties:
Density of states at the Fermi level   1.68 states/eV/f.u.
Crystal system   tetragonal
Energy relative to the elements   191 meV/atom

---

[2]
Density functional theory data (PBE) for a geometry-optimized TlCrAs2 structure.

Cell lengths 3.153, 3.153, 9.709 Å; angles 80.65, 80.65, 60.00 degrees
Site moments in Bohr magnetons follow the coordinates.
Element x y z (fractional)
Tl  0.500  0.500  0.501  0.01
Cr  0.667  0.667  0.000  0.82
As  0.059  0.059  0.823  -0.04
As  0.275  0.275  0.176  -0.04

Computed properties:
Density of states at the Fermi level   1.93 states/eV/f.u.
Crystal system   trigonal
Energy relative to the elements   25 meV/atom

---

[3]
Density functional theory data (PBE) for a geometry-optimized TlCrAs2 structure.

Cell lengths 5.188, 5.188, 5.188 Å; angles 129.04, 129.04, 74.95 degrees
Site moments in Bohr magnetons follow the coordinates.
Element x y z (fractional)
As  0.000  0.000  0.000  -0.12
As  0.500  0.500  0.000  -0.12
Cr  0.250  0.750  0.500  3.58
Tl  0.750  0.250  0.500  -0.01

Computed properties:
Density of states at the Fermi level   2.12 states/eV/f.u.
Crystal system   tetragonal
Energy relative to the elements   420 meV/atom

---

[4]
Density functional theory data (PBE) for a geometry-optimized TlCrAs2 structure.

Cell lengths 3.779, 3.779, 7.436 Å; angles 75.31, 75.31, 60.03 degrees
Site moments in Bohr magnetons follow the coordinates.
Element x y z (fractional)
As  0.975  0.975  0.075  -0.14
As  0.525  0.525  0.425  -0.14
Cr  0.250  0.250  0.250  2.46
Tl  0.750  0.750  0.750  -0.03

Computed properties:
Density of states at the Fermi level   2.20 states/eV/f.u.
Crystal system   trigonal
Energy relative to the elements   29 meV/atom

---

[5]
Density functional theory data (PBE) for a geometry-optimized TlCrAs2 structure.

Cell lengths 4.903, 4.903, 4.903 Å; angles 60.00, 60.00, 60.00 degrees
Site moments in Bohr magnetons follow the coordinates.
Element x y z (fractional)
As  0.000  0.000  0.000  -0.04
As  0.250  0.250  0.250  -0.17
Cr  0.500  0.500  0.500  3.74
Tl  0.750  0.750  0.750  -0.01

Computed properties:
Density of states at the Fermi level   1.36 states/eV/f.u.
Crystal system   cubic
Energy relative to the elements   533 meV/atom

---

[6]
Density functional theory data (PBE) for a geometry-optimized TlCrAs2 structure.

Cell lengths 6.308, 6.308, 6.308 Å; angles 153.15, 133.57, 54.45 degrees
Site moments in Bohr magnetons follow the coordinates.
Element x y z (fractional)
As  0.932  0.932  0.000  -0.06
As  0.568  0.568  0.000  -0.06
Cr  0.750  0.250  0.500  2.00
Tl  0.250  0.750  0.500  -0.04

Computed properties:
Density of states at the Fermi level   2.47 states/eV/f.u.
Crystal system   orthorhombic
Energy relative to the elements   288 meV/atom

---

[7]
Density functional theory data (PBE) for a geometry-optimized TmCrAs2 structure.

Cell lengths 3.899, 3.899, 6.409 Å; angles 72.29, 72.29, 60.00 degrees
Site moments in Bohr magnetons follow the coordinates.
Element x y z (fractional)
Cr  0.000  0.000  0.000  2.89
As  0.263  0.263  0.212  -0.08
As  0.737  0.737  0.788  -0.08
Tm  0.500  0.500  0.500  -0.12

Computed properties:
Density of states at the Fermi level   0.81 states/eV/f.u.
Crystal system   trigonal
Energy relative to the elements   -759 meV/atom

---

[8]
Density functional theory data (PBE) for a geometry-optimized UCrAs structure.

Cell lengths 5.770, 5.562, 7.881 Å; angles 119.26, 95.28, 91.02 degrees
Site moments in Bohr magnetons follow the coordinates.
Element x y z (fractional)
As  0.451  0.951  0.734  -0.01
As  0.905  0.644  0.725  -0.01
As  0.549  0.049  0.266  -0.01
As  0.095  0.356  0.275  -0.01
Cr  0.075  0.848  0.533  -0.09
Cr  0.575  0.706  0.921  -0.01
Cr  0.925  0.152  0.467  -0.09
Cr  0.425  0.294  0.079  -0.01
U  0.084  0.748  0.119  1.08
U  0.633  0.604  0.331  0.17
U  0.916  0.252  0.881  1.08
U  0.367  0.396  0.669  0.17

Computed properties:
Density of states at the Fermi level   3.99 states/eV/f.u.
Crystal system   triclinic
Energy relative to the elements   -212 meV/atom

---

[9]
Density functional theory data (PBE) for a geometry-optimized UCrAs2 structure.

Cell lengths 3.941, 3.941, 6.364 Å; angles 71.96, 71.96, 60.00 degrees
Site moments in Bohr magnetons follow the coordinates.
Element x y z (fractional)
Cr  0.000  0.000  0.000  2.85
As  0.263  0.263  0.210  -0.11
As  0.737  0.737  0.790  -0.11
U  0.500  0.500  0.500  2.13

Computed properties:
Density of states at the Fermi level   4.82 states/eV/f.u.
Crystal system   trigonal
Energy relative to the elements   -413 meV/atom

---

[10]
Density functional theory data (PBE) for a geometry-optimized V2CrAs structure.

Cell lengths 4.205, 4.205, 4.205 Å; angles 60.00, 60.00, 60.00 degrees
Site moments in Bohr magnetons follow the coordinates.
Element x y z (fractional)
Cr  0.000  0.000  0.000  -0.91
As  0.500  0.500  0.500  -0.02
V  0.250  0.250  0.250  0.92
V  0.750  0.750  0.750  0.92

Computed properties:
Density of states at the Fermi level   4.88 states/eV/f.u.
Crystal system   cubic
Energy relative to the elements   -48 meV/atom

---

[11]
Density functional theory data (PBE) for a geometry-optimized V3CrAs structure.

Cell lengths 4.897, 4.897, 12.949 Å; angles 80.10, 80.10, 62.41 degrees
Element x y z (fractional)
V  0.653  0.983  0.788
V  0.017  0.347  0.712
V  0.347  0.017  0.212
V  0.983  0.653  0.288
V  0.552  0.903  0.594
V  0.097  0.448  0.906
V  0.448  0.097  0.406
V  0.903  0.552  0.094
V  0.091  0.949  0.909
V  0.051  0.909  0.591
V  0.949  0.091  0.409
V  0.909  0.051  0.091
Cr  0.623  0.455  0.913
Cr  0.545  0.377  0.587
Cr  0.377  0.545  0.087
Cr  0.455  0.623  0.413
As  0.000  0.500  0.500
As  0.500  0.000  0.000
As  0.641  0.359  0.250
As  0.359  0.641  0.750

Computed properties:
Density of states at the Fermi level   2.85 states/eV/f.u.
Crystal system   monoclinic
Energy relative to the elements   -90 meV/atom

---

[12]
Density functional theory data (PBE) for a geometry-optimized V2CrAs structure.

Cell lengths 3.170, 3.170, 5.284 Å; angles 90.00, 90.00, 90.00 degrees
Site moments in Bohr magnetons follow the coordinates.
Element x y z (fractional)
Cr  0.500  0.500  0.500  0.14
As  0.500  0.500  0.000  0.00
V  0.000  0.000  0.751  -0.02
V  0.000  0.000  0.249  -0.02

Computed properties:
Density of states at the Fermi level   4.38 states/eV/f.u.
Crystal system   tetragonal
Energy relative to the elements   -146 meV/atom

---

[13]
Density functional theory data (PBE) for a geometry-optimized VCr3As structure.

Cell lengths 4.458, 4.458, 4.458 Å; angles 90.00, 90.00, 90.00 degrees
Site moments in Bohr magnetons follow the coordinates.
Element x y z (fractional)
Cr  0.000  0.500  0.000  2.74
Cr  0.000  0.000  0.500  2.74
Cr  0.500  0.000  0.000  2.74
As  0.500  0.500  0.500  -0.16
V  0.000  0.000  0.000  -1.11

Computed properties:
Density of states at the Fermi level   6.68 states/eV/f.u.
Crystal system   cubic
Energy relative to the elements   1212 meV/atom

---

[14]
Density functional theory data (PBE) for a geometry-optimized V2CrAs structure.

Cell lengths 6.735, 6.735, 5.394 Å; angles 51.36, 51.36, 90.00 degrees
Element x y z (fractional)
Cr  0.500  0.500  0.000
Cr  0.250  0.750  0.500
As  0.000  0.000  0.000
As  0.750  0.250  0.500
V  0.590  0.125  0.250
V  0.160  0.625  0.250
V  0.375  0.410  0.750
V  0.875  0.840  0.750

Computed properties:
Density of states at the Fermi level   4.65 states/eV/f.u.
Crystal system   tetragonal
Energy relative to the elements   370 meV/atom

---

[15]
Density functional theory data (PBE) for a geometry-optimized V6Cr5As structure.

Cell lengths 4.153, 5.880, 7.169 Å; angles 114.21, 106.82, 90.00 degrees
Element x y z (fractional)
Cr  0.662  0.162  0.325
Cr  0.331  0.331  0.663
Cr  0.000  0.500  0.000
Cr  0.669  0.669  0.337
Cr  0.338  0.838  0.675
As  0.000  0.000  0.000
V  0.830  0.575  0.659
V  0.830  0.084  0.659
V  0.500  0.736  0.000
V  0.500  0.264  0.000
V  0.170  0.916  0.341
V  0.170  0.425  0.341

Computed properties:
Density of states at the Fermi level   9.53 states/eV/f.u.
Crystal system   orthorhombic
Energy relative to the elements   -142 meV/atom

---

[16]
Density functional theory data (PBE) for a geometry-optimized VCr3As structure.

Cell lengths 4.506, 4.506, 4.506 Å; angles 90.00, 90.00, 90.00 degrees
Site moments in Bohr magnetons follow the coordinates.
Element x y z (fractional)
Cr  0.000  0.500  0.000  2.71
Cr  0.000  0.000  0.500  2.71
Cr  0.500  0.000  0.000  2.71
As  0.000  0.000  0.000  -0.14
V  0.500  0.500  0.500  -2.49

Computed properties:
Density of states at the Fermi level   5.39 states/eV/f.u.
Crystal system   cubic
Energy relative to the elements   976 meV/atom

---

[17]
Density functional theory data (PBE) for a geometry-optimized V2CrAs structure.

Cell lengths 3.813, 3.712, 3.712 Å; angles 90.00, 90.00, 90.00 degrees
Site moments in Bohr magnetons follow the coordinates.
Element x y z (fractional)
Cr  0.500  0.000  0.000  -1.02
As  0.500  0.500  0.500  0.01
V  0.000  0.000  0.500  0.20
V  0.000  0.500  0.000  0.20

Computed properties:
Density of states at the Fermi level   2.87 states/eV/f.u.
Crystal system   tetragonal
Energy relative to the elements   -163 meV/atom

---

[18]
Density functional theory data (PBE) for a geometry-optimized VCr2As2 structure.

Cell lengths 6.612, 6.612, 3.356 Å; angles 90.00, 90.00, 90.00 degrees
Site moments in Bohr magnetons follow the coordinates.
Element x y z (fractional)
Cr  0.147  0.647  0.500  2.37
Cr  0.647  0.853  0.500  2.37
Cr  0.853  0.353  0.500  2.37
Cr  0.353  0.147  0.500  2.37
As  0.348  0.848  0.000  -0.05
As  0.848  0.652  0.000  -0.05
As  0.652  0.152  0.000  -0.05
As  0.152  0.348  0.000  -0.05
V  0.000  0.000  0.000  -0.91
V  0.500  0.500  0.000  -0.91

Computed properties:
Density of states at the Fermi level   4.69 states/eV/f.u.
Crystal system   tetragonal
Energy relative to the elements   -7 meV/atom

---

[19]
Density functional theory data (PBE) for a geometry-optimized V5Cr2As structure.

Cell lengths 5.924, 5.924, 7.517 Å; angles 113.21, 113.21, 90.00 degrees
Element x y z (fractional)
V  0.510  0.684  0.694
V  0.816  0.990  0.306
V  0.000  0.000  0.000
V  0.500  0.500  0.000
V  0.184  0.010  0.694
V  0.684  0.184  0.694
V  0.010  0.510  0.694
V  0.316  0.816  0.306
V  0.990  0.490  0.306
V  0.490  0.316  0.306
Cr  0.154  0.346  0.000
Cr  0.654  0.154  0.000
Cr  0.346  0.846  0.000
Cr  0.846  0.654  0.000
As  0.750  0.750  0.500
As  0.250  0.250  0.500

Computed properties:
Density of states at the Fermi level   9.53 states/eV/f.u.
Crystal system   tetragonal
Energy relative to the elements   35 meV/atom

---

[20]
Density functional theory data (PBE) for a geometry-optimized V3CrAs structure.

Cell lengths 4.323, 4.323, 4.323 Å; angles 90.00, 90.00, 90.00 degrees
Element x y z (fractional)
Cr  0.000  0.000  0.000
As  0.500  0.500  0.500
V  0.000  0.500  0.000
V  0.000  0.000  0.500
V  0.500  0.000  0.000

Computed properties:
Density of states at the Fermi level   4.66 states/eV/f.u.
Crystal system   cubic
Energy relative to the elements   798 meV/atom

---

[21]
Density functional theory data (PBE) for a geometry-optimized V3CrAs structure.

Cell lengths 4.509, 4.509, 4.509 Å; angles 90.00, 90.00, 90.00 degrees
Site moments in Bohr magnetons follow the coordinates.
Element x y z (fractional)
Cr  0.500  0.500  0.500  3.53
As  0.000  0.000  0.000  0.04
V  0.000  0.500  0.000  -1.07
V  0.000  0.000  0.500  -1.07
V  0.500  0.000  0.000  -1.07

Computed properties:
Density of states at the Fermi level   6.20 states/eV/f.u.
Crystal system   cubic
Energy relative to the elements   843 meV/atom

---

[22]
Density functional theory data (PBE) for a geometry-optimized V12Cr6As structure.

Cell lengths 6.329, 6.329, 6.329 Å; angles 89.29, 89.29, 89.29 degrees
Element x y z (fractional)
V  0.814  0.521  0.415
V  0.415  0.814  0.521
V  0.521  0.415  0.814
V  0.186  0.479  0.585
V  0.585  0.186  0.479
V  0.479  0.585  0.186
V  0.057  0.144  0.382
V  0.856  0.618  0.943
V  0.618  0.943  0.856
V  0.943  0.856  0.618
V  0.144  0.382  0.057
V  0.382  0.057  0.144
Cr  0.740  0.879  0.263
Cr  0.737  0.260  0.121
Cr  0.121  0.737  0.260
Cr  0.260  0.121  0.737
Cr  0.263  0.740  0.879
Cr  0.879  0.263  0.740
As  0.000  0.000  0.000

Computed properties:
Density of states at the Fermi level   21.62 states/eV/f.u.
Crystal system   trigonal
Energy relative to the elements   94 meV/atom

---

[23]
Density functional theory data (PBE) for a geometry-optimized VCrAsW2 structure.

Cell lengths 4.581, 4.581, 4.218 Å; angles 90.00, 90.00, 90.00 degrees
Element x y z (fractional)
Cr  0.000  0.000  0.000
As  0.500  0.500  0.500
W  0.000  0.500  0.000
W  0.500  0.000  0.000
V  0.000  0.000  0.500

Computed properties:
Density of states at the Fermi level   6.30 states/eV/f.u.
Crystal system   tetragonal
Energy relative to the elements   1332 meV/atom

---

[24]
Density functional theory data (PBE) for a geometry-optimized Cr2AsW structure.

Cell lengths 3.176, 4.195, 4.146 Å; angles 90.00, 90.00, 90.00 degrees
Site moments in Bohr magnetons follow the coordinates.
Element x y z (fractional)
As  0.000  0.500  0.500  -0.02
Cr  0.000  0.000  0.000  0.10
Cr  0.500  0.500  0.000  1.74
W  0.500  0.000  0.500  0.10

Computed properties:
Density of states at the Fermi level   3.89 states/eV/f.u.
Crystal system   orthorhombic
Energy relative to the elements   290 meV/atom

---

[25]
Density functional theory data (PBE) for a geometry-optimized CrAsW2 structure.

Cell lengths 2.822, 2.822, 8.097 Å; angles 90.00, 90.00, 109.49 degrees
Site moments in Bohr magnetons follow the coordinates.
Element x y z (fractional)
As  0.000  0.000  0.516  -0.03
Cr  0.500  0.500  0.741  1.27
W  0.000  0.000  0.988  -0.10
W  0.500  0.500  0.256  0.01

Computed properties:
Density of states at the Fermi level   4.26 states/eV/f.u.
Crystal system   orthorhombic
Energy relative to the elements   310 meV/atom

---

[26]
Density functional theory data (PBE) for a geometry-optimized Cr2AsW structure.

Cell lengths 4.952, 4.952, 4.952 Å; angles 137.47, 137.47, 61.72 degrees
Site moments in Bohr magnetons follow the coordinates.
Element x y z (fractional)
As  0.750  0.250  0.500  -0.03
Cr  0.000  0.000  0.000  -0.87
Cr  0.250  0.750  0.500  1.65
W  0.500  0.500  0.000  0.08

Computed properties:
Density of states at the Fermi level   3.35 states/eV/f.u.
Crystal system   tetragonal
Energy relative to the elements   204 meV/atom